# 1
The following is a DFT calculation (GGA-PBE) of a relaxed structure of TiNbGe.

a = 3.6763 Å, b = 3.7508 Å, c = 7.3439 Å
α = 90.00°, β = 90.00°, γ = 90.00°
Last column: nearest neighbours and their distance in Å.
Space group Pmm2 (No. 25)
One atom of each set of equivalent atoms:
Ti1 0.0000 0.0000 0.0000 (multiplicity 1)  5 Ge 2.66-2.71
Ti2 0.5000 0.0000 0.3636 (multiplicity 1)  4 Nb 2.63, 4 Ge 2.73-2.74
Nb1 0.0000 0.5000 0.3660 (multiplicity 1)  4 Ti 2.63, 4 Ge 2.72-2.74
Nb2 0.5000 0.5000 0.7305 (multiplicity 1)  5 Ge 2.66-2.71
Ge1 0.0000 0.0000 0.6381 (multiplicity 1)  3 Ti 2.66-2.73, 6 Nb 2.71-2.74
Ge2 0.5000 0.5000 0.0925 (multiplicity 1)  3 Nb 2.66-2.72, 6 Ti 2.71-2.74

***

# 2
The following is a DFT calculation (GGA-PBE) of a relaxed structure of TiNbGe3.

a = 4.7961 Å, b = 4.7961 Å, c = 4.7961 Å
α = 90.00°, β = 90.00°, γ = 90.00°
Last column: nearest neighbours and their distance in Å.
Space group Pm-3m (No. 221)
One atom of each set of equivalent atoms:
Ti1 0.0000 0.0000 0.0000 (multiplicity 1)  6 Ge 2.40
Nb1 0.5000 0.5000 0.5000 (multiplicity 1)  12 Ge 3.39
Ge1 0.0000 0.0000 0.5000 (multiplicity 3)  2 Ti 2.40

***

# 3
The following is a DFT calculation (GGA-PBE) of a relaxed structure of Ti2NbGe2.

distance to the lowest polymorph of the same formula	706.0	meV/atom

a = 3.5542 Å, b = 3.5542 Å, c = 14.1629 Å
α = 90.00°, β = 90.00°, γ = 90.00°
Last column: nearest neighbours and their distance in Å.
Space group I4/mmm (No. 139)
One atom of each set of equivalent atoms:
Ti1 0.0000 0.0000 0.1006 (multiplicity 4)  4 Ge 2.76, 1 Ti 2.85, 4 Nb 2.89
Nb1 0.0000 0.0000 0.5000 (multiplicity 2)  8 Ti 2.89
Ge1 0.0000 0.5000 0.2500 (multiplicity 4)  4 Ge 2.51, 4 Ti 2.76

***

# 4
The following is a DFT calculation (GGA-PBE) of a relaxed structure of TiNbGe.

a = 5.0058 Å, b = 8.4472 Å, c = 9.5369 Å
α = 90.00°, β = 90.00°, γ = 90.00°
Last column: nearest neighbours and their distance in Å.
Space group F222 (No. 22)
One atom of each set of equivalent atoms:
Ti1 0.0000 0.1652 0.0000 (multiplicity 8)  2 Nb 2.78, 5 Ge 2.79-2.87, 3 Ti 2.79-2.88
Nb1 0.2500 0.0854 0.2500 (multiplicity 8)  2 Ti 2.78, 3 Nb 2.78-2.89, 5 Ge 2.79-2.86
Ge1 0.0000 0.0000 0.5000 (multiplicity 4)  4 Nb 2.79, 6 Ti 2.83-2.87
Ge2 0.2500 0.2500 0.7500 (multiplicity 4)  4 Ti 2.79, 6 Nb 2.83-2.86

***

For reference, formation energy by record: -1.55; 3.69; 0.39; -1.21 eV per formula unit.
For reference, magnetic moment by record: 0.00; 0.56; 0.00; 0.00 μB/atom.
For reference, uncorrected energy by record: -48.269; -28.131; -69.406; -190.344 eV per cell.